1.
16
Lattice="-0.696 2.816 -1.805 0.638 -4.486 -4.012 -11.373 -2.313 0.779" Properties=species:S:1:pos:R:3 comment="TbY2TcN4 | Alexandria | PBE | optimized geometry" raw_formation_energy_mev_per_atom=-1075.6 pbc="T T T"
Tb -8.453 -2.548 -0.714
Tb -2.978 -1.436 -4.324
Y -5.924 -3.516 -3.200
Y -0.723 0.506 -2.165
Y -5.507 -0.467 -1.838
Y -10.708 -4.489 -2.873
Tc -8.666 -2.580 -3.916
Tc -2.766 -1.403 -1.122
N -1.338 -1.929 -2.493
N -7.389 -1.505 -2.730
N -10.094 -2.055 -2.545
N -4.043 -2.479 -2.308
N -5.686 -1.157 0.389
N 0.000 0.000 0.000
N -8.270 -4.501 -3.831
N -3.162 0.517 -1.207

2.
5
Lattice="-2.237 -2.229 2.274 2.275 -4.630 -2.301 2.772 0.005 2.731" Properties=species:S:1:pos:R:3 comment="HfHgOsO2 | Alexandria | PBE | optimized geometry" raw_formation_energy_mev_per_atom=91.3 pbc="T T T"
Hf 1.405 -3.427 1.352
Os 0.000 0.000 0.000
Hg 1.137 -2.315 -1.151
O 1.386 0.002 1.365
O -1.118 -1.114 1.137

3.
11
Lattice="5.042 0.000 0.000 0.000 6.654 0.316 -2.521 -2.459 8.970" Properties=species:S:1:pos:R:3 comment="Dy8Al2Au | Alexandria | PBE | optimized geometry" e_form_ev_per_atom=-0.270 pbc="T T T"
Dy 0.000 1.579 7.449
Dy 2.521 5.718 3.091
Dy 2.521 3.189 5.431
Dy 2.521 -0.823 8.633
Dy 0.000 1.005 3.855
Dy 0.000 -1.523 6.196
Dy 2.521 2.615 1.838
Dy 0.000 5.017 0.653
Al 2.521 0.118 5.672
Al 0.000 4.076 3.614
Au 2.521 0.000 0.000

4.
4
Lattice="-0.322 1.739 -2.759 -2.627 -0.633 1.854 0.900 4.776 2.905" Properties=species:S:1:pos:R:3 comment="PC | Alexandria | PBE | optimized geometry" e_form_ev_per_atom=1.060 relative_energy_kj_per_mol_atoms=72.1 pbc="T T T"
P 0.292 1.550 0.943
P -0.257 5.368 1.467
C 0.889 4.715 2.868
C -0.854 2.203 -0.458

5.
4
Lattice="3.685 0.000 0.000 0.000 3.689 0.000 0.000 0.000 7.188" Properties=species:S:1:pos:R:3 comment="SrZn2Cd | Alexandria | PBE | optimized geometry" e_form_ev_per_atom=-0.067 pbc="T T T"
Cd 0.000 0.000 3.216
Sr 1.842 1.845 5.520
Zn 0.000 0.000 0.410
Zn 1.842 1.845 1.637

6.
4
Lattice="-3.180 -2.682 1.114 1.236 -0.495 2.337 -2.273 3.957 3.037" Properties=species:S:1:pos:R:3 comment="CuW2Au | Alexandria | PBE | optimized geometry" e_form_ev_per_atom=0.305 relative_energy_kj_per_mol_atoms=7.6 pbc="T T T"
Au -0.325 1.676 3.107
Cu -2.610 1.398 4.237
W -2.232 3.897 3.008
W -1.840 -0.503 1.860

7.
4
Lattice="-2.007 -0.298 -6.014 -5.622 -2.623 -1.343 -4.826 3.648 -1.919" Properties=species:S:1:pos:R:3 comment="K2LiLa | Alexandria | PBE | optimized geometry" e_form_ev_per_atom=0.521 pbc="T T T"
K 0.000 0.000 0.000
K -9.342 0.546 -6.958
La -6.228 0.364 -4.638
Li -3.114 0.182 -2.319

8.
5
Lattice="-1.767 -1.948 -3.061 0.591 -3.513 1.895 -7.208 -2.026 2.790" Properties=species:S:1:pos:R:3 comment="Sr2NbW2 | Alexandria | PBE | optimized geometry" e_form_ev_per_atom=1.542 relative_energy_kj_per_mol_atoms=54.6 pbc="T T T"
Sr -4.781 -3.352 -0.427
Sr -3.602 -4.135 2.051
Nb 0.000 0.000 0.000
W -1.590 -2.624 -0.072
W -6.793 -4.864 1.696

9.
4
Lattice="-2.682 -0.297 5.204 -5.612 1.279 1.112 3.943 -3.116 -3.018" Properties=species:S:1:pos:R:3 comment="PWAu2 | Alexandria | PBE | optimized geometry" e_form_ev_per_atom=0.438 relative_energy_kj_per_mol_atoms=31.8 pbc="T T T"
P -3.877 0.459 2.953
W -3.299 -0.627 0.924
Au -0.199 0.024 0.152
Au -1.123 -1.499 2.429

10.
20
Lattice="7.026 0.000 0.000 0.000 6.849 0.000 0.000 0.000 9.908" Properties=species:S:1:pos:R:3 comment="Ac2TmCrS6 | Alexandria | PBE | optimized geometry" raw_formation_energy_mev_per_atom=-1629.4 pbc="T T T"
Ac 3.513 5.338 2.099
Ac 0.000 1.511 7.053
Ac 3.513 5.338 7.810
Ac 0.000 1.511 2.855
Tm 3.513 1.712 4.954
Tm 0.000 5.137 0.000
Cr 0.000 5.075 4.954
Cr 3.513 1.774 0.000
S 3.513 1.599 2.361
S 3.513 1.599 7.547
S 0.000 5.250 2.593
S 0.000 5.250 7.316
S 1.674 6.725 4.954
S 5.352 6.725 4.954
S 1.550 3.331 4.954
S 5.475 3.331 4.954
S 5.063 3.518 0.000
S 1.963 3.518 0.000
S 1.839 0.124 0.000
S 5.187 0.124 0.000

11.
6
Lattice="4.317 0.000 0.000 0.000 5.047 0.207 0.000 -0.059 6.243" Properties=species:S:1:pos:R:3 comment="ErPuNp | Alexandria | PBE | optimized geometry" e_form_ev_per_atom=0.226 pbc="T T T"
Pu 3.238 3.322 6.295
Pu 1.079 1.667 0.154
Np 3.238 0.628 0.779
Np 1.079 4.361 5.671
Er 3.238 1.270 3.817
Er 1.079 3.718 2.633

12.
5
Lattice="-3.032 -2.856 0.617 0.918 -1.775 -3.707 2.936 -2.683 2.012" Properties=species:S:1:pos:R:3 comment="FeMoP2S | Alexandria | PBE | optimized geometry" raw_formation_energy_mev_per_atom=817.6 relative_energy_kj_per_mol_atoms=1.0 pbc="T T T"
S 1.468 -1.341 1.006
P 0.459 -0.888 -1.853
P -1.516 -1.428 0.309
Mo 0.411 -3.657 -0.539
Fe 0.000 0.000 0.000

Number 1: E -69.83 eV/f.u.. Number 2: E -30.94 eV/f.u.. Number 3: E -50.55 eV/f.u.. Number 4: E -12.51 eV/f.u.. Number 5: E -5.41 eV/f.u.. Number 6: E -32.06 eV/f.u.. Number 7: E -6.95 eV/f.u.. Number 8: E -31.63 eV/f.u.. Number 9: E -23.17 eV/f.u.. Number 10: E -63.37 eV/f.u.. Number 11: E -31.16 eV/f.u.. Number 12: E -30.15 eV/f.u..